Entry 1:
VASP calculation (GGA-PBE) on a relaxed Tc2Sb crystal.

Properties
D(E_F)   1.9 states/eV/f.u.
Volume   16.763 Å³ per atom
Uncorrected formation energy   0.11 eV/atom

a = 9.527 Å, b = 3.136 Å, c = 7.253 Å
α = 90.00°, β = 111.85°, γ = 90.00°
Space group C2/m (No. 12)
Symmetry-distinct sites (fractional):
Tc 0.155 0.000 0.033 x4
Tc 0.178 0.000 0.651 x4
Sb 0.030 0.500 0.288 x4


Entry 2:
VASP calculation (GGA-PBE) on a relaxed CePmBiN crystal.

Properties
D(E_F)   4.8 states/eV/f.u.
Volume   25.282 Å³ per atom
Uncorrected formation energy   -1.18 eV/atom

a = 4.665 Å, b = 4.665 Å, c = 9.295 Å
α = 90.00°, β = 90.00°, γ = 90.00°
Space group P4/nmm (No. 129, origin choice 2)
Symmetry-distinct sites (fractional):
Ce 0.250 0.750 0.000 x2
Pm 0.250 0.250 0.329 x2
Bi 0.250 0.250 0.695 x2
N 0.250 0.250 0.081 x2


Entry 3:
VASP calculation (GGA-PBE) on a relaxed DyHo2 crystal.

Properties
D(E_F)   4.1 states/eV/f.u.
Volume   30.854 Å³ per atom
Calculated total energy   -4.57 eV/atom

a = 11.134 Å, b = 4.978 Å, c = 7.041 Å
α = 90.00°, β = 108.43°, γ = 90.00°
Space group C2/m (No. 12)
Symmetry-distinct sites (fractional):
Dy 0.167 0.000 0.083 x4
Ho 0.000 0.500 0.250 x4
Ho 0.167 0.000 0.583 x4


Entry 4:
VASP calculation (GGA-PBE) on a relaxed YCdRu crystal.

Properties
D(E_F)   2.5 states/eV/f.u.
Volume   21.669 Å³ per atom
Calculated total energy   -5.57 eV/atom

a = 4.6330 Å, b = 4.6330 Å, c = 3.4970 Å
α = 90.00°, β = 90.00°, γ = 120.00°
Space group P-6m2 (No. 187)
Symmetry-distinct sites (fractional):
Y 0.0000 0.0000 0.0000 x1
Cd 0.6667 0.3333 0.5000 x1
Ru 0.3333 0.6667 0.5000 x1


Entry 5:
VASP calculation (GGA-PBE) on a relaxed Y2MgTl3 crystal.

Properties
D(E_F)   3.7 states/eV/f.u.
Volume   26.294 Å³ per atom
Calculated total energy   -3.84 eV/atom

a = 7.074 Å, b = 10.146 Å, c = 17.585 Å
α = 90.00°, β = 90.00°, γ = 90.00°
Space group Fmmm (No. 69)
Symmetry-distinct sites (fractional):
Y 0.245 0.000 0.000 x8
Y 0.250 0.250 0.250 x8
Mg 0.000 0.000 0.333 x8
Tl 0.000 0.000 0.171 x8
Tl 0.000 0.242 0.414 x16


Entry 6:
VASP calculation (GGA-PBE) on a relaxed ZrSnNF2 crystal.

Properties
D(E_F)   4.8 states/eV/f.u.
Volume   16.285 Å³ per atom
Uncorrected formation energy   -0.49 eV/atom

a = 4.352 Å, b = 4.352 Å, c = 4.300 Å
α = 90.00°, β = 90.00°, γ = 90.00°
Space group P4/mmm (No. 123)
Symmetry-distinct sites (fractional):
Zr 0.000 0.000 0.000 x1
Sn 0.500 0.500 0.500 x1
N 0.500 0.500 0.000 x1
F 0.000 0.500 0.500 x2


Which value of D(E_F) does entry 3 give? 4.1 states/eV/f.u.


Which of these has the lowest volume? ZrSnNF2


Number 3 is which compound? DyHo2